Entry from Alexandria via LeMat-Bulk: an optimized crystal structure of LiTbNd (PBE).

Results
- Crystal system: trigonal
- Offset from the most stable computed form: 4.9 kJ per mole of atoms
- ΔE_f: 0.1031 eV/atom

Cell lengths 3.5367, 3.5367, 8.4205 Å; angles 90.00, 90.00, 120.00 degrees
With the nearest neighbours (Å) after each atom.
Fractional positions:
Li (0.0000, 0.0000, 0.0000)  3 Tb 3.41, 3 Nd 3.47, 6 Li 3.54
Tb (0.6667, 0.3333, 0.3241)  3 Li 3.41, 3 Nd 3.53, 6 Tb 3.54
Nd (0.3333, 0.6667, 0.6666)  3 Li 3.47, 3 Tb 3.53, 6 Nd 3.54